(1)
Material: ScPdAu6
Method: DFT, PBE-GGA
State: relaxed

```
ScPdAu6
1.0
4.599 -2.085 0.000
4.599 2.085 0.000
-3.851 0.000 7.437
Sc Pd Au
1 1 6
Cartesian
0.000 0.000 0.000
-1.925 0.000 3.719
0.819 0.000 2.794
-1.055 0.000 6.489
3.619 0.000 1.856
1.729 0.000 5.581
6.404 0.000 0.948
4.529 0.000 4.643
```

Output
* formation energy from the elements: -351 meV/atom
* SG: C2/m, No. 12

(2)
Material: SrCu5Si2
Method: DFT, PBE-GGA
State: relaxed

```
SrCu5Si2
1.0
-1.978 3.399 4.738
1.978 -3.399 4.738
1.978 3.399 -4.738
Sr Cu Si
1 5 2
Cartesian
0.000 0.000 0.000
1.978 2.171 -1.469
1.978 2.171 1.469
0.000 3.399 0.000
0.000 1.228 3.269
0.000 1.228 6.208
1.978 0.000 2.427
0.000 3.399 2.311
```

Output
* SG: Immm, No. 71
* energy relative to the elements, uncorrected: -0.178 eV/atom

(3)
Material: BaSbH
Method: DFT, PBE-GGA
State: relaxed

```
BaSbH
1.0
2.092 -4.621 0.000
2.092 4.621 0.000
0.000 0.000 9.203
Ba Sb H
2 2 2
Cartesian
0.000 0.000 0.000
0.000 0.000 4.602
2.092 1.797 6.903
2.092 -1.797 2.301
2.092 3.144 2.301
2.092 -3.144 6.903
```

Output
* energy relative to the lowest polymorph listed for this composition: 0.154 eV/atom
* SG: Cmcm, No. 63

(4)
Material: TaMn2Cu
Method: DFT, PBE-GGA
State: relaxed

```
TaMn2Cu
1.0
-1.900 1.900 3.819
1.900 -1.900 3.819
1.900 1.900 -3.819
Ta Mn Cu
1 2 1
Cartesian
0.000 0.000 0.000
1.900 0.000 1.909
0.000 1.900 1.909
0.000 0.000 3.819
```

Output
* formation energy from the elements: 111 meV/atom
* SG: I4/mmm, No. 139

(5)
Material: Tm3BiH
Method: DFT, PBE-GGA
State: relaxed

```
Tm3BiH
1.0
7.809 0.000 0.000
0.000 4.191 0.000
-3.254 0.000 7.304
Tm Bi H
6 2 2
Cartesian
-0.626 1.048 2.694
1.208 3.144 0.803
1.257 3.144 4.609
3.298 1.048 2.696
3.347 1.048 6.501
5.181 3.144 4.611
-0.653 1.048 6.123
5.208 3.144 1.181
0.141 3.144 2.767
4.414 1.048 4.537
```

Output
* energy relative to the lowest polymorph listed for this composition: 0.000 eV/atom
* SG: P2_1/m, No. 11

(6)
Material: Tm2MnSn
Method: DFT, PBE-GGA
State: relaxed

```
Tm2MnSn
1.0
3.586 0.000 0.000
0.000 3.586 0.000
0.000 0.000 7.314
Tm Mn Sn
2 1 1
Cartesian
0.000 0.000 1.677
0.000 0.000 5.637
1.793 1.793 0.000
1.793 1.793 3.657
```

Output
* energy relative to the lowest polymorph listed for this composition: 0.000 eV/atom
* formation energy from the elements: -239 meV/atom
* SG: P4/mmm, No. 123

(7)
Material: HgAs2Br
Method: DFT, PBE-GGA
State: relaxed

```
HgAs2Br
1.0
-1.652 2.749 5.053
1.652 -2.749 5.053
1.652 2.749 -5.053
Hg As Br
1 2 1
Cartesian
0.000 0.000 0.000
1.652 0.000 2.302
0.000 2.749 2.751
0.000 0.000 5.053
```

Output
* energy relative to the lowest polymorph listed for this composition: 0.444 eV/atom
* SG: Immm, No. 71
* energy relative to the elements, uncorrected: 0.394 eV/atom

(8)
Material: PuZn4Fe
Method: DFT, PBE-GGA
State: relaxed

```
PuZn4Fe
1.0
0.000 3.676 3.676
3.676 0.000 3.676
3.676 3.676 0.000
Pu Zn Fe
1 4 1
Cartesian
0.000 0.000 0.000
4.586 2.766 2.766
2.766 4.586 2.766
2.766 2.766 4.586
4.586 4.586 4.586
1.838 1.838 1.838
```

Output
* formation energy from the elements: 122 meV/atom
* SG: F-43m, No. 216

(9)
Material: Ca2VBr6
Method: DFT, PBE-GGA
State: relaxed

```
Ca2VBr6
1.0
3.630 2.096 6.367
-3.630 2.096 6.367
0.000 -4.192 6.367
Ca V Br
2 1 6
Cartesian
0.000 0.000 3.588
0.000 0.000 15.512
0.000 0.000 0.000
-0.994 -2.292 7.930
-2.482 -0.286 11.170
-1.488 2.007 7.930
1.488 -2.007 11.170
2.482 0.286 7.930
0.994 2.292 11.170
```

Output
* SG: R-3, No. 148
* energy relative to the elements, uncorrected: -1.583 eV/atom

(10)
Material: PmLu2Tl
Method: DFT, PBE-GGA
State: relaxed

```
PmLu2Tl
1.0
0.000 3.841 3.841
3.841 0.000 3.841
3.841 3.841 0.000
Pm Lu Tl
1 2 1
Cartesian
0.000 0.000 0.000
1.920 1.920 1.920
5.761 5.761 5.761
3.841 3.841 3.841
```

Output
* energy relative to the lowest polymorph listed for this composition: 0.205 eV/atom
* formation energy from the elements: 39 meV/atom
* SG: Fm-3m, No. 225

(11)
Material: LiEuGe2
Method: DFT, PBE-GGA
State: relaxed

```
LiEuGe2
1.0
8.026 0.000 0.000
0.000 3.997 0.000
0.000 0.000 10.860
Li Eu Ge
4 4 8
Cartesian
0.057 0.999 1.195
3.956 2.998 6.625
4.070 0.999 4.235
7.969 2.998 9.665
1.084 2.998 3.964
2.929 0.999 9.395
5.097 2.998 1.466
6.942 0.999 6.896
1.293 2.998 7.384
1.823 2.998 0.694
2.190 0.999 6.124
2.720 0.999 1.954
5.306 2.998 8.906
5.836 2.998 4.736
6.202 0.999 10.166
6.732 0.999 3.476
```

Output
* energy relative to the lowest polymorph listed for this composition: 0.000 eV/atom
* formation energy from the elements: -576 meV/atom
* SG: Pnma, No. 62

(12)
Material: CaIr2Os
Method: DFT, PBE-GGA
State: relaxed

```
CaIr2Os
1.0
0.000 3.228 3.228
3.228 0.000 3.228
3.228 3.228 0.000
Ca Ir Os
1 2 1
Cartesian
0.000 0.000 0.000
1.614 1.614 1.614
4.842 4.842 4.842
3.228 3.228 3.228
```

Output
* energy relative to the lowest polymorph listed for this composition: 0.492 eV/atom
* formation energy from the elements: 516 meV/atom
* SG: Fm-3m, No. 225

Spin magnetization for every record listed, in sequence, given in μB per formula unit: 0.0; 0.0; 0.0; 4.9; 0.0; 2.9; 0.0; 7.1; 3.0; 1.7; 6.9; 2.9.
E for every record listed, in sequence, given in eV per atom: -4.250; -4.304; -3.626; -8.461; -4.542; -5.768; -2.424; -4.527; -4.156; -4.000; -5.931; -7.223.